The following is a PBE calculation of crystalline B4Mo6W at its relaxed geometry, from Alexandria via LeMat-Bulk.

Summary:
Crystal system: tetragonal
E_form in meV/atom: -138
Total DFT energy (no corrections) in eV/atom: -9.65

Cell lengths 5.7963, 5.7963, 5.7963 Å; angles 88.09, 121.11, 121.11 degrees
Closest atoms and distances in Å follow each position.
Sites, in units of the cell vectors:
1 Mo 0.3826 0.4668 0.4668  4 B 2.29-2.40
2 B 0.7298 0.4233 0.4233  2 B 1.82
3 Mo 0.6174 0.0843 0.0843  4 B 2.29-2.40
4 Mo 0.0000 0.5332 0.9157  4 B 2.29-2.40
5 Mo 0.5000 0.5000 0.0000  4 B 2.27
6 B 0.0000 0.5767 0.3065  2 B 1.82
7 Mo 0.5000 0.0000 0.5000  4 B 2.27
8 Mo 0.0000 0.9157 0.5332  4 B 2.29-2.40
9 B 0.2702 0.6935 0.6935  2 B 1.82
10 B 0.0000 0.3065 0.5767  2 B 1.82
11 W 0.0000 0.0000 0.0000  8 Mo 2.77-2.85, 4 B 2.98


The following is a PBE calculation of crystalline BMoW at its relaxed geometry, from Alexandria via LeMat-Bulk.

Summary:
Crystal system: orthorhombic
E_form in meV/atom: 778
Total DFT energy (no corrections) in eV/atom: -9.38
E above lowest polymorph in meV/atom: 1081

Cell lengths 3.2258, 4.6044, 6.3295 Å; angles 84.88, 75.24, 69.49 degrees
Closest atoms and distances in Å follow each position.
Sites, in units of the cell vectors:
1 Mo 0.6612 0.0000 0.6776  4 B 2.55, 2 Mo 2.71, 4 W 2.81
2 B 0.2500 0.5000 0.5000  2 B 1.61
3 B 0.7500 0.5000 0.5000  2 B 1.61
4 W 0.1378 0.7245 0.0000  3 W 2.38-2.52
5 Mo 0.3388 0.0000 0.3224  4 B 2.55, 2 Mo 2.71, 4 W 2.81
6 W 0.8622 0.2755 0.0000  3 W 2.38-2.52


The following is a PBE calculation of crystalline B2MoW at its relaxed geometry, from Alexandria via LeMat-Bulk.

Summary:
Crystal system: orthorhombic
E_form in meV/atom: -418
Total DFT energy (no corrections) in eV/atom: -9.70
E above lowest polymorph in meV/atom: 0

Cell lengths 3.0753, 4.5631, 6.0090 Å; angles 90.00, 90.00, 90.00 degrees
Closest atoms and distances in Å follow each position.
Sites, in units of the cell vectors:
1 B 0.5000 0.1499 0.9670  2 B 1.83
2 B 0.5000 0.8501 0.4670  2 B 1.83
3 Mo 0.5000 0.6375 0.8211  7 B 2.32-2.50
4 Mo 0.5000 0.3625 0.3211  7 B 2.32-2.50
5 B 0.0000 0.6496 0.5324  2 B 1.83
6 W 0.0000 0.1355 0.6795  7 B 2.31-2.51
7 W 0.0000 0.8645 0.1795  7 B 2.31-2.51
8 B 0.0000 0.3504 0.0324  2 B 1.83


The following is a PBE calculation of crystalline B2Mo2W at its relaxed geometry, from Alexandria via LeMat-Bulk.

Summary:
Crystal system: tetragonal
E_form in meV/atom: -349
Total DFT energy (no corrections) in eV/atom: -9.94
E above lowest polymorph in meV/atom: 0

Cell lengths 6.0614, 6.0614, 3.1620 Å; angles 90.00, 90.00, 90.00 degrees
Closest atoms and distances in Å follow each position.
Sites, in units of the cell vectors:
1 Mo 0.6711 0.8289 0.5000  6 B 2.37-2.42
2 W 0.0000 0.0000 0.0000  4 B 2.44
3 B 0.3853 0.8853 0.0000  1 B 1.97
4 B 0.6147 0.1147 0.0000  1 B 1.97
5 Mo 0.1711 0.6711 0.5000  6 B 2.37-2.42
6 W 0.5000 0.5000 0.0000  4 B 2.44
7 B 0.8853 0.6147 0.0000  1 B 1.97
8 Mo 0.3289 0.1711 0.5000  6 B 2.37-2.42
9 B 0.1147 0.3853 0.0000  1 B 1.97
10 Mo 0.8289 0.3289 0.5000  6 B 2.37-2.42


The following is a PBE calculation of crystalline BMo3W at its relaxed geometry, from Alexandria via LeMat-Bulk.

Summary:
Crystal system: cubic
E_form in meV/atom: 2672
Total DFT energy (no corrections) in eV/atom: -7.75
E above lowest polymorph in meV/atom: 2385

Cell lengths 4.7333, 4.7333, 4.7333 Å; angles 90.00, 90.00, 90.00 degrees
Closest atoms and distances in Å follow each position.
Sites, in units of the cell vectors:
1 Mo 0.0000 0.5000 0.0000  2 W 2.37
2 Mo 0.0000 0.0000 0.5000  2 W 2.37
3 Mo 0.5000 0.0000 0.0000  2 W 2.37
4 B 0.5000 0.5000 0.5000  12 Mo 3.35
5 W 0.0000 0.0000 0.0000  6 Mo 2.37


The following is a PBE calculation of crystalline B2MoW at its relaxed geometry, from Alexandria via LeMat-Bulk.

Summary:
Crystal system: trigonal
E_form in meV/atom: -193
Total DFT energy (no corrections) in eV/atom: -9.48
E above lowest polymorph in meV/atom: 225

Cell lengths 3.1631, 3.1631, 5.4778 Å; angles 73.22, 73.22, 60.00 degrees
Closest atoms and distances in Å follow each position.
Sites, in units of the cell vectors:
1 W 0.5000 0.5000 0.5000  6 B 2.24
2 Mo 0.0000 0.0000 0.0000  6 B 2.24
3 B 0.2499 0.2499 0.2504  3 W 2.24, 3 Mo 2.24
4 B 0.7501 0.7501 0.7496  3 W 2.24, 3 Mo 2.24


The following is a PBE calculation of crystalline B3MoW5 at its relaxed geometry, from Alexandria via LeMat-Bulk.

Summary:
Crystal system: monoclinic
E_form in meV/atom: 242
Total DFT energy (no corrections) in eV/atom: -10.38

Cell lengths 5.8530, 5.8530, 8.3654 Å; angles 104.40, 101.56, 110.98 degrees
Closest atoms and distances in Å follow each position.
Sites, in units of the cell vectors:
1 B 0.2184 0.9785 0.1969  1 B 1.93, 1 W 2.14
2 W 0.6982 0.6982 0.0000  3 B 2.00-2.19
3 W 0.4221 0.6604 0.6090  3 B 2.17-2.30
4 W 0.5779 0.3396 0.3910  3 B 2.17-2.30
5 W 0.9486 0.1870 0.6090  3 B 2.17-2.30
6 W 0.5024 0.8061 0.3086  2 B 2.19-2.39
7 W 0.0514 0.8130 0.3910  3 B 2.17-2.30
8 W 0.7693 0.2662 0.0355  2 B 2.14-2.22
9 W 0.2307 0.7338 0.9645  2 B 2.14-2.22
10 B 0.3302 0.4586 0.7889  6 W 2.17-2.22
11 B 0.0000 0.0000 0.0000  2 B 1.93, 2 W 2.00
12 B 0.0000 0.5000 0.5000  2 Mo 2.12, 4 W 2.20
13 W 0.3018 0.3018 0.0000  3 B 2.00-2.19
14 B 0.6698 0.5414 0.2111  6 W 2.17-2.22
15 B 0.7816 0.0215 0.8031  1 B 1.93, 1 W 2.14
16 Mo 0.9486 0.7552 0.7038  2 B 2.12-2.20
17 Mo 0.0514 0.2448 0.2962  2 B 2.12-2.20
18 W 0.4976 0.1939 0.6914  2 B 2.19-2.39


The following is a PBE calculation of crystalline BMoW at its relaxed geometry, from Alexandria via LeMat-Bulk.

Summary:
Crystal system: orthorhombic
E_form in meV/atom: -301
Total DFT energy (no corrections) in eV/atom: -10.46
E above lowest polymorph in meV/atom: 2

Cell lengths 3.1899, 3.1523, 7.5839 Å; angles 90.00, 102.14, 90.00 degrees
Closest atoms and distances in Å follow each position.
Sites, in units of the cell vectors:
1 B 0.9665 0.7500 0.9329  2 B 1.86
2 W 0.7995 0.7500 0.5990  1 B 2.48, 4 W 2.68
3 B 0.0335 0.2500 0.0671  2 B 1.86
4 W 0.2005 0.2500 0.4010  1 B 2.48, 4 W 2.68
5 Mo 0.5832 0.7500 0.1664  6 B 2.35-2.36
6 Mo 0.4168 0.2500 0.8336  6 B 2.35-2.36